1.
SmDyHg3 PBE optimized geometry; calculated formation energy = -0.413 eV per atom
1.0
3.559 0.000 -0.490
0.000 4.944 0.000
0.208 0.000 14.683
Hg Dy Sm
6 2 2
direct
0.622 0.750 0.245
0.682 0.250 0.364
0.318 0.750 0.636
0.476 0.250 0.952
0.378 0.250 0.755
0.524 0.750 0.048
0.789 0.250 0.578
0.211 0.750 0.422
0.924 0.750 0.848
0.076 0.250 0.152


2.
LiAuS2 PBE optimized geometry; formation energy without anion corrections = -1.55 eV/f.u.
1.0
-5.008 0.027 1.609
-1.591 -0.838 -4.940
0.460 -10.309 1.605
S Li Au
8 4 4
direct
0.250 0.500 0.856
0.750 0.500 0.144
0.250 0.000 0.106
0.750 0.500 0.606
0.750 0.000 0.894
0.250 0.500 0.394
0.250 0.000 0.644
0.750 0.000 0.356
0.750 0.500 0.875
0.750 0.000 0.625
0.250 0.500 0.125
0.250 0.000 0.375
0.250 0.500 0.625
0.750 0.000 0.125
0.750 0.500 0.375
0.250 0.000 0.875


3.
Rb3Tb2NpTe6 PBE optimized geometry; formation energy without anion corrections = -14.55 eV/f.u.
1.0
-7.576 2.244 -0.648
2.313 -4.436 6.150
3.469 7.799 2.617
Rb Te Tb Np
3 6 2 1
direct
0.834 0.166 0.500
0.500 0.500 0.500
0.166 0.834 0.500
0.596 0.933 0.800
0.933 0.596 0.800
0.067 0.404 0.200
0.729 0.729 0.200
0.404 0.067 0.200
0.271 0.271 0.800
0.667 0.333 0.000
0.333 0.667 0.000
0.000 0.000 0.000


4.
Cd2Br PBE optimized geometry; formation energy without anion corrections = -0.28 eV/f.u.
1.0
-3.375 1.130 -0.752
-1.012 -5.216 -3.297
-2.754 -3.733 6.752
Cd Br
4 2
direct
0.500 0.604 0.848
0.500 0.396 0.152
0.000 0.104 0.652
0.000 0.896 0.348
0.500 0.500 0.500
0.000 0.000 0.000


5.
ZnReH PBE optimized geometry; final energy = -5.526 eV/atom
1.0
2.843 0.000 0.000
0.000 3.069 0.000
0.000 1.534 8.056
H Zn Re
2 2 2
direct
0.750 0.372 0.255
0.250 0.628 0.745
0.750 0.934 0.132
0.250 0.066 0.868
0.750 0.701 0.597
0.250 0.299 0.403


6.
TbSm2Ho PBE optimized geometry; calculated formation energy = 0.014 eV per atom
1.0
3.585 0.000 0.000
1.793 3.105 0.000
1.793 1.035 11.668
Ho Sm Tb
1 2 1
direct
0.000 0.000 0.000
0.250 0.250 0.249
0.750 0.750 0.751
0.500 0.500 0.500


7.
LaPuN PBE optimized geometry; formation energy without anion corrections = -1.97 eV/f.u.
1.0
3.238 0.000 0.000
0.000 7.348 0.000
0.000 0.000 10.046
La Pu N
4 4 4
direct
0.250 0.964 0.334
0.750 0.536 0.834
0.750 0.036 0.666
0.250 0.464 0.166
0.750 0.110 0.978
0.250 0.390 0.478
0.250 0.890 0.022
0.750 0.610 0.522
0.250 0.318 0.923
0.750 0.182 0.423
0.750 0.682 0.077
0.250 0.818 0.577


8.
PmMg6Hg2 PBE optimized geometry; calculated formation energy = -0.174 eV per atom
1.0
-1.520 4.154 -0.035
-3.273 -1.221 -2.713
-6.374 -2.258 8.705
Hg Mg Pm
2 6 1
direct
0.500 0.500 0.872
0.500 0.500 0.128
0.500 0.500 0.500
0.000 0.000 0.500
0.500 0.000 0.288
0.000 0.500 0.712
0.500 0.000 0.712
0.000 0.500 0.288
0.000 0.000 0.000


9.
CdRuPb4 PBE optimized geometry; calculated formation energy = 0.801 eV per atom
1.0
-5.042 2.378 2.899
-3.062 4.876 -2.516
-5.720 -0.817 -2.469
Cd Pb Ru
1 4 1
direct
0.000 0.000 0.000
0.873 0.376 0.376
0.376 0.376 0.376
0.376 0.376 0.873
0.376 0.873 0.376
0.750 0.750 0.750


10.
Ac2Zn6In PBE optimized geometry; calculated formation energy = -0.283 eV per atom
1.0
6.071 -0.001 0.002
0.002 5.351 -3.085
-0.002 -0.003 6.177
Zn Ac In
6 2 1
direct
0.354 0.819 0.637
0.354 0.819 0.181
0.646 0.181 0.819
0.354 0.362 0.181
0.646 0.181 0.363
0.646 0.638 0.819
0.840 0.667 0.333
0.160 0.333 0.667
0.000 0.000 0.000


11.
MgIn2Si PBE optimized geometry; formation energy without anion corrections = 0.51 eV/f.u.
1.0
3.247 0.021 0.000
-0.022 3.247 0.000
0.000 0.000 8.514
Si In Mg
1 2 1
direct
0.500 0.500 0.730
0.500 0.500 0.268
0.000 0.000 0.970
0.000 0.000 0.532


12.
Tb3PmHg5 PBE optimized geometry; calculated formation energy = -0.392 eV per atom
1.0
6.521 0.000 0.000
0.000 7.956 -4.593
0.000 0.000 9.187
Hg Tb Pm
10 6 2
direct
0.250 0.698 0.000
0.750 0.000 0.302
0.500 0.667 0.333
0.000 0.667 0.333
0.750 0.302 0.000
0.750 0.698 0.698
0.250 0.000 0.698
0.500 0.333 0.667
0.000 0.333 0.667
0.250 0.302 0.302
0.750 0.630 0.000
0.250 0.000 0.370
0.750 0.370 0.370
0.250 0.630 0.630
0.250 0.370 0.000
0.750 0.000 0.630
0.000 0.000 0.000
0.500 0.000 0.000


Number 1: total magnetization 0.1 μB per formula unit. Number 2: total magnetization 0.0 μB per formula unit. Number 3: total magnetization 4.0 μB per formula unit. Number 4: total magnetization 0.0 μB per formula unit. Number 5: total magnetization 0.0 μB per formula unit. Number 6: total magnetization 0.0 μB per formula unit. Number 7: total magnetization 0.5 μB per formula unit. Number 8: total magnetization 0.0 μB per formula unit. Number 9: total magnetization 1.5 μB per formula unit. Number 10: total magnetization 0.0 μB per formula unit. Number 11: total magnetization 0.0 μB per formula unit. Number 12: total magnetization 0.0 μB per formula unit.